# 1
# BeCo3Ge | Alexandria via LeMat-Bulk | PBE | optimized geometry
# Size of the total moment, Bohr magnetons per cell: 3.12
# Excess energy over the best structure of this formula in the dataset, meV per atom: 952
# Energy, Ha/atom: -0.1785
# ΔH_f (0 K), eV per atom: 1.0742
data_BeCo3Ge
_chemical_formula_sum 'Be1 Co3 Ge1'
_cell_length_a 4.2624
_cell_length_b 4.2624
_cell_length_c 4.2624
_cell_angle_alpha 90.00
_cell_angle_beta 90.00
_cell_angle_gamma 90.00
_space_group_name_H-M_alt 'P m -3 m'
_space_group_IT_number 221
_space_group_name_Hall '-P 4 2 3'
loop_
_atom_site_label
_atom_site_type_symbol
_atom_site_fract_x
_atom_site_fract_y
_atom_site_fract_z
_atom_site_occupancy
Be1 Be 0.0000 0.0000 0.0000 1
Co1 Co 0.0000 0.5000 0.5000 1
Ge1 Ge 0.5000 0.5000 0.5000 1

=====

# 2
# Y4Ho6Th | Alexandria via LeMat-Bulk | PBE | optimized geometry
# Size of the total moment, Bohr magnetons per cell: 0.00
# Excess energy over the best structure of this formula in the dataset, meV per atom: 0
# Energy, Ha/atom: -0.1977
# ΔH_f (0 K), eV per atom: 0.1421
data_Y4Ho6Th
_chemical_formula_sum 'Y16 Ho24 Th4'
_cell_length_a 5.6710
_cell_length_b 9.7195
_cell_length_c 25.6037
_cell_angle_alpha 90.00
_cell_angle_beta 90.00
_cell_angle_gamma 90.00
_space_group_name_H-M_alt 'C m c m'
_space_group_IT_number 63
_space_group_name_Hall '-C 2c 2'
loop_
_atom_site_label
_atom_site_type_symbol
_atom_site_fract_x
_atom_site_fract_y
_atom_site_fract_z
_atom_site_occupancy
Y1 Y 0.0000 0.0107 0.1219 1
Y2 Y 0.0000 0.3366 0.0413 1
Ho1 Ho 0.0000 0.0000 0.0000 1
Ho2 Ho 0.0000 0.0105 0.2500 1
Ho3 Ho 0.0000 0.3248 0.6026 1
Ho4 Ho 0.0000 0.3435 0.1830 1
Th1 Th 0.0000 0.3237 0.7500 1

=====

# 3
# Nb5Ru | Alexandria via LeMat-Bulk | PBE | optimized geometry
# Size of the total moment, Bohr magnetons per cell: 0.00
# Excess energy over the best structure of this formula in the dataset, meV per atom: 0
# Energy, Ha/atom: -0.3715
# ΔH_f (0 K), eV per atom: -0.1719
data_Nb5Ru
_chemical_formula_sum 'Nb10 Ru2'
_cell_length_a 4.6079
_cell_length_b 9.8449
_cell_length_c 4.5978
_cell_angle_alpha 90.00
_cell_angle_beta 90.00
_cell_angle_gamma 90.00
_space_group_name_H-M_alt 'C m m m'
_space_group_IT_number 65
_space_group_name_Hall '-C 2 2'
loop_
_atom_site_label
_atom_site_type_symbol
_atom_site_fract_x
_atom_site_fract_y
_atom_site_fract_z
_atom_site_occupancy
Nb1 Nb 0.0000 0.0000 0.0000 1
Nb2 Nb 0.0000 0.1630 0.5000 1
Nb3 Nb 0.0000 0.3364 0.0000 1
Ru1 Ru 0.0000 0.5000 0.5000 1